Record 1
Below is crystalline CaTi4O9 at its relaxed geometry, with properties calculated at the GGA-PBEsol level.

a b c (Å): 8.4010 8.4010 4.7079
angles (deg): 90.00 90.00 90.00
With the nearest neighbours (Å) after each atom.
Fractional coordinates of all 28 atoms:
Ca (0.2500, 0.2500, 0.1750)  8 O 2.38-2.48
Ca (0.7500, 0.7500, 0.8250)  8 O 2.38-2.48
Ti (0.0401, 0.6559, 0.3492)  1 O 1.68
Ti (0.1559, 0.9599, 0.6508)  1 O 1.68
Ti (0.3441, 0.5401, 0.6508)  1 O 1.68
Ti (0.4599, 0.8441, 0.3492)  1 O 1.68
Ti (0.5401, 0.1559, 0.6508)  1 O 1.68
Ti (0.6559, 0.4599, 0.3492)  1 O 1.68
Ti (0.8441, 0.0401, 0.3492)  1 O 1.68
Ti (0.9599, 0.3441, 0.6508)  1 O 1.68
O (0.0049, 0.6764, 0.9994)  1 Ti 1.68
O (0.0436, 0.1456, 0.5024)  3 Ti 1.94-2.03
O (0.1456, 0.4564, 0.5024)  3 Ti 1.94-2.03
O (0.1764, 0.9951, 0.0006)  1 Ti 1.68
O (0.2500, 0.7500, 0.5000)  4 Ti 2.06
O (0.3236, 0.5049, 0.0006)  1 Ti 1.68
O (0.3544, 0.0436, 0.5024)  3 Ti 1.94-2.03
O (0.4564, 0.3544, 0.5024)  3 Ti 1.94-2.03
O (0.4951, 0.8236, 0.9994)  1 Ti 1.68
O (0.5049, 0.1764, 0.0006)  1 Ti 1.68
O (0.5436, 0.6456, 0.4976)  3 Ti 1.94-2.03
O (0.6456, 0.9564, 0.4976)  3 Ti 1.94-2.03
O (0.6764, 0.4951, 0.9994)  1 Ti 1.68
O (0.7500, 0.2500, 0.5000)  4 Ti 2.06
O (0.8236, 0.0049, 0.9994)  1 Ti 1.68
O (0.8544, 0.5436, 0.4976)  3 Ti 1.94-2.03
O (0.9564, 0.8544, 0.4976)  3 Ti 1.94-2.03
O (0.9951, 0.3236, 0.0006)  1 Ti 1.68

## Properties
- E_form (uncorrected) (eV per atom) = -2.990

=====

Record 2
Below is crystalline CaTi2O5 at its relaxed geometry, with properties calculated at the GGA-PBEsol level.

a b c (Å): 5.8105 5.8105 11.3867
angles (deg): 90.00 90.00 142.19
With the nearest neighbours (Å) after each atom.
Fractional coordinates of all 16 atoms:
Ca (0.0954, 0.9046, 0.7500)  4 O 2.22-2.28
Ca (0.9046, 0.0954, 0.2500)  4 O 2.22-2.28
Ti (0.2066, 0.7934, 0.0971)  1 O 1.68
Ti (0.2066, 0.7934, 0.4029)  1 O 1.68
Ti (0.7934, 0.2066, 0.5971)  1 O 1.68
Ti (0.7934, 0.2066, 0.9029)  1 O 1.68
O (0.0555, 0.9445, 0.1199)  1 Ti 1.68
O (0.0555, 0.9445, 0.3801)  1 Ti 1.68
O (0.2381, 0.7619, 0.5761)  3 Ti 1.99-2.00
O (0.2381, 0.7619, 0.9239)  3 Ti 1.99-2.00
O (0.2879, 0.7121, 0.2500)  2 Ti 1.96
O (0.7121, 0.2879, 0.7500)  2 Ti 1.96
O (0.7619, 0.2381, 0.0761)  3 Ti 1.99-2.00
O (0.7619, 0.2381, 0.4239)  3 Ti 1.99-2.00
O (0.9445, 0.0555, 0.6199)  1 Ti 1.68
O (0.9445, 0.0555, 0.8801)  1 Ti 1.68

## Properties
- E_form (uncorrected) (eV per atom) = -3.047

=====

Record 3
Below is crystalline Ca3YTi4O12 at its relaxed geometry, with properties calculated at the GGA-PBEsol level.

a b c (Å): 5.3253 7.6141 5.4778
angles (deg): 90.00 90.17 90.00
With the nearest neighbours (Å) after each atom.
Fractional coordinates of all 20 atoms:
Ca (0.0000, 0.0000, 0.0000)  4 O 2.31-2.39
Ca (0.0227, 0.5000, 0.0998)  6 O 2.32-2.56
Ca (0.5202, 0.0000, 0.5038)  6 O 2.32-2.60
Y (0.4991, 0.5000, 0.6113)  6 O 2.26-2.46
Ti (0.0087, 0.2486, 0.5487)  6 O 1.95-2.00
Ti (0.0087, 0.7514, 0.5487)  6 O 1.95-2.00
Ti (0.5133, 0.2485, 0.0533)  6 O 1.95-1.99
Ti (0.5133, 0.7515, 0.0533)  6 O 1.95-1.99
O (0.0897, 0.0000, 0.5724)  2 Ti 1.95
O (0.2220, 0.2994, 0.8374)  2 Ti 1.98-1.99
O (0.2220, 0.7006, 0.8374)  2 Ti 1.98-1.99
O (0.3133, 0.3003, 0.3498)  2 Ti 1.98-2.00
O (0.3133, 0.6997, 0.3498)  2 Ti 1.98-2.00
O (0.4283, 0.0000, 0.0734)  2 Ti 1.95
O (0.5949, 0.5000, 0.0227)  2 Ti 1.97
O (0.7130, 0.2126, 0.7535)  2 Ti 1.96-1.98
O (0.7130, 0.7874, 0.7535)  2 Ti 1.96-1.98
O (0.8100, 0.2072, 0.2539)  2 Ti 1.95
O (0.8100, 0.7928, 0.2539)  2 Ti 1.95
O (0.9145, 0.5000, 0.5260)  2 Ti 1.98

## Properties
- E_form (uncorrected) (eV per atom) = -3.246

=====

Record 4
Below is crystalline CaYTi2O6 at its relaxed geometry, with properties calculated at the GGA-PBEsol level.

a b c (Å): 7.6152 5.5151 5.3052
angles (deg): 90.00 90.00 90.00
With the nearest neighbours (Å) after each atom.
Fractional coordinates of all 20 atoms:
Ca (0.0000, 0.1967, 0.0000)  6 O 2.31-2.58
Ca (0.5000, 0.8033, 0.5000)  6 O 2.31-2.58
Y (0.0000, 0.6854, 0.4736)  6 O 2.25-2.49
Y (0.5000, 0.3146, 0.9736)  6 O 2.25-2.49
Ti (0.2498, 0.2465, 0.4881)  6 O 1.96-1.99
Ti (0.2502, 0.7535, 0.9881)  6 O 1.96-1.99
Ti (0.7502, 0.2465, 0.4881)  6 O 1.96-1.99
Ti (0.7498, 0.7535, 0.9881)  6 O 1.96-1.99
O (0.0000, 0.2796, 0.5732)  2 Ti 1.96
O (0.0000, 0.7776, 0.8862)  2 Ti 1.99
O (0.1982, 0.9462, 0.2962)  2 Ti 1.98-1.99
O (0.2035, 0.4583, 0.1934)  2 Ti 1.98-1.99
O (0.2965, 0.5417, 0.6934)  2 Ti 1.98-1.99
O (0.3018, 0.0538, 0.7962)  2 Ti 1.98-1.99
O (0.5000, 0.2224, 0.3862)  2 Ti 1.99
O (0.5000, 0.7204, 0.0732)  2 Ti 1.96
O (0.6982, 0.0538, 0.7962)  2 Ti 1.98-1.99
O (0.7035, 0.5417, 0.6934)  2 Ti 1.98-1.99
O (0.7965, 0.4583, 0.1934)  2 Ti 1.98-1.99
O (0.8018, 0.9462, 0.2962)  2 Ti 1.98-1.99

## Properties
- E_form (uncorrected) (eV per atom) = -3.268

=====

Record 5
Below is crystalline CaY3Ti4O12 at its relaxed geometry, with properties calculated at the GGA-PBEsol level.

a b c (Å): 5.2901 7.6175 5.5741
angles (deg): 90.00 90.08 90.00
With the nearest neighbours (Å) after each atom.
Fractional coordinates of all 20 atoms:
Ca (0.0000, 0.0000, 0.0000)  4 O 2.30-2.38
Y (0.0323, 0.5000, 0.1272)  6 O 2.22-2.46
Y (0.4982, 0.5000, 0.6269)  6 O 2.24-2.46
Y (0.5342, 0.0000, 0.4908)  6 O 2.26-2.48
Ti (0.0134, 0.2483, 0.5606)  6 O 1.98-2.02
Ti (0.0134, 0.7517, 0.5606)  6 O 1.98-2.02
Ti (0.5163, 0.2482, 0.0580)  6 O 1.96-2.02
Ti (0.5163, 0.7518, 0.0580)  6 O 1.96-2.02
O (0.1204, 0.0000, 0.5888)  2 Ti 1.98
O (0.2108, 0.3109, 0.8577)  2 Ti 2.01-2.02
O (0.2108, 0.6891, 0.8577)  2 Ti 2.01-2.02
O (0.3179, 0.3071, 0.3567)  2 Ti 2.02
O (0.3179, 0.6929, 0.3567)  2 Ti 2.02
O (0.4240, 0.0000, 0.0924)  2 Ti 1.96
O (0.6273, 0.5000, 0.0193)  2 Ti 2.02, 1 Y 2.22
O (0.7000, 0.2011, 0.7505)  2 Ti 2.00
O (0.7000, 0.7989, 0.7505)  2 Ti 2.00
O (0.8157, 0.2011, 0.2636)  2 Ti 1.99
O (0.8157, 0.7989, 0.2636)  2 Ti 1.99
O (0.9066, 0.5000, 0.5216)  2 Ti 2.01, 1 Y 2.24

## Properties
- E_form (uncorrected) (eV per atom) = -3.275

=====

Record 6
Below is crystalline CaTi8Zn2O19 at its relaxed geometry, with properties calculated at the GGA-PBEsol level.

a b c (Å): 9.1929 9.2052 9.2053
angles (deg): 68.39 68.48 68.43
With the nearest neighbours (Å) after each atom.
Fractional coordinates of all 60 atoms:
Ca (0.0000, 0.0000, 0.0000)  6 O 2.29-2.31
Ca (0.4693, 0.4996, 0.4819)  4 O 2.42-2.62
Ti (0.0246, 0.8572, 0.4270)  5 O 1.85-2.00
Ti (0.1430, 0.5783, 0.9750)  5 O 1.84-2.00
Ti (0.1503, 0.4841, 0.3687)  6 O 1.90-2.08
Ti (0.1988, 0.3494, 0.7814)  6 O 1.86-2.06
Ti (0.2237, 0.8037, 0.6519)  5 O 1.85-2.04
Ti (0.3454, 0.7897, 0.1912)  6 O 1.88-2.08
Ti (0.4203, 0.0236, 0.8585)  4 O 1.83-1.99
Ti (0.4855, 0.3692, 0.1470)  5 O 1.87-2.04
Ti (0.5800, 0.9749, 0.1427)  4 O 1.84-1.99
Ti (0.6220, 0.8509, 0.5201)  6 O 1.87-2.03
Ti (0.6510, 0.2204, 0.7924)  5 O 1.89-2.04
Ti (0.7785, 0.1950, 0.3518)  6 O 1.88-2.04
Ti (0.7967, 0.6498, 0.2239)  6 O 1.90-2.03
Ti (0.8427, 0.5170, 0.6369)  6 O 1.87-2.09
Ti (0.8580, 0.4208, 0.0302)  5 O 1.86-2.03
Ti (0.9804, 0.1362, 0.5830)  4 O 1.85-1.98
Zn (0.1875, 0.1937, 0.1947)  4 O 1.96-2.00
Zn (0.3673, 0.1554, 0.4900)  6 O 2.01-2.18
Zn (0.5111, 0.6326, 0.8493)  6 O 2.01-2.18
Zn (0.8068, 0.8097, 0.8131)  4 O 1.96-2.00
O (0.0128, 0.1107, 0.3675)  1 Zn 1.96, 3 Ti 1.98-2.16
O (0.0129, 0.6411, 0.4892)  3 Ti 1.89-2.05
O (0.0377, 0.5798, 0.2055)  3 Ti 1.90-2.03
O (0.1061, 0.3638, 0.0175)  1 Zn 1.96, 3 Ti 2.00-2.11
O (0.1218, 0.8715, 0.2084)  2 Ti 1.85-1.88
O (0.1349, 0.7939, 0.8766)  2 Ti 1.84-1.90
O (0.1947, 0.0367, 0.5865)  2 Ti 1.85-1.94, 1 Zn 2.01
O (0.2036, 0.1283, 0.8651)  2 Ti 1.86-1.88
O (0.2139, 0.5684, 0.7459)  3 Ti 1.97-2.04
O (0.2548, 0.7819, 0.4366)  3 Ti 1.97-2.08
O (0.2567, 0.3677, 0.5609)  1 Ti 1.86, 1 Zn 2.07
O (0.2811, 0.2947, 0.2858)  2 Ti 1.96-2.04, 2 Zn 2.00-2.09
O (0.3430, 0.5616, 0.2670)  2 Ti 1.93-1.96
O (0.3509, 0.5032, 0.9993)  2 Ti 1.85-1.94, 1 Zn 2.02
O (0.3611, 0.0164, 0.1167)  1 Zn 1.96, 2 Ti 1.99
O (0.4132, 0.8055, 0.9681)  2 Ti 1.88-1.90, 1 Zn 2.01
O (0.4291, 0.2618, 0.7868)  3 Ti 1.95-2.07
O (0.4422, 0.7436, 0.6386)  2 Ti 1.85-2.00, 1 Zn 2.04
O (0.4970, 0.0042, 0.6506)  2 Ti 1.83-1.95, 1 Zn 2.03
O (0.5190, 0.9831, 0.3559)  2 Ti 1.86-1.87
O (0.5591, 0.2769, 0.3445)  2 Ti 1.89-1.96
O (0.5659, 0.7381, 0.2206)  3 Ti 1.98-2.07
O (0.5778, 0.2013, 0.0435)  2 Ti 1.88-1.94
O (0.6343, 0.9871, 0.8925)  1 Zn 1.96, 3 Ti 1.99-2.14
O (0.6409, 0.4850, 0.0261)  2 Ti 1.87
O (0.6591, 0.4371, 0.7342)  2 Ti 1.87-1.89
O (0.7226, 0.7150, 0.7072)  2 Ti 1.96-2.03, 2 Zn 2.00-2.13
O (0.7368, 0.2123, 0.5713)  3 Ti 1.91-2.12
O (0.7404, 0.6560, 0.4435)  3 Ti 1.91-2.09
O (0.7889, 0.4305, 0.2632)  3 Ti 1.94-2.04
O (0.7956, 0.8722, 0.1311)  2 Ti 1.84-1.90
O (0.7973, 0.9610, 0.4227)  3 Ti 1.96-1.97
O (0.8679, 0.2030, 0.1301)  2 Ti 1.86-1.88
O (0.8720, 0.1321, 0.7969)  2 Ti 1.85-1.90
O (0.8865, 0.6366, 0.9902)  1 Zn 1.96, 3 Ti 1.98-2.18
O (0.9546, 0.4237, 0.8020)  3 Ti 1.91-2.05
O (0.9820, 0.8913, 0.6393)  1 Zn 1.96, 3 Ti 1.97-2.11
O (0.9860, 0.3609, 0.5142)  3 Ti 1.94-2.00

## Properties
- E_form (uncorrected) (eV per atom) = -2.857

=====

Record 7
Below is crystalline CaZrTi2O7 at its relaxed geometry, with properties calculated at the GGA-PBEsol level.

a b c (Å): 7.1906 7.2116 11.3270
angles (deg): 81.04 80.84 60.55
With the nearest neighbours (Å) after each atom.
Fractional coordinates of all 44 atoms:
Ca (0.0010, 0.2541, 0.4901)  8 O 2.37-2.52
Ca (0.2519, 0.9998, 0.9995)  8 O 2.38-2.51
Ca (0.7481, 0.0002, 0.0005)  8 O 2.38-2.51
Ca (0.9990, 0.7459, 0.5099)  8 O 2.37-2.52
Zr (0.2556, 0.4972, 0.9744)  6 O 2.07-2.30
Zr (0.4979, 0.2576, 0.4724)  5 O 2.02-2.21
Zr (0.5021, 0.7424, 0.5276)  5 O 2.02-2.21
Zr (0.7444, 0.5028, 0.0256)  6 O 2.07-2.30
Ti (0.0826, 0.9783, 0.7531)  4 O 1.81-1.96
Ti (0.1263, 0.3774, 0.7451)  6 O 1.86-2.03
Ti (0.3612, 0.1313, 0.2475)  5 O 1.86-1.98
Ti (0.3736, 0.6291, 0.2514)  6 O 1.89-1.99
Ti (0.6264, 0.3709, 0.7486)  6 O 1.89-1.99
Ti (0.6388, 0.8687, 0.7525)  5 O 1.86-1.98
Ti (0.8737, 0.6226, 0.2549)  6 O 1.86-2.03
Ti (0.9174, 0.0217, 0.2469)  4 O 1.81-1.96
O (0.0394, 0.3812, 0.9177)  1 Ti 1.96, 1 Zr 2.11
O (0.0671, 0.7214, 0.2866)  3 Ti 1.90-1.95
O (0.0794, 0.3379, 0.2823)  2 Ti 1.86
O (0.1099, 0.8271, 0.9022)  1 Ti 1.84
O (0.1635, 0.8927, 0.6030)  1 Ti 1.81
O (0.2094, 0.3772, 0.5702)  1 Ti 1.98, 1 Zr 2.02
O (0.2428, 0.9461, 0.2218)  3 Ti 1.98-2.11
O (0.2991, 0.0552, 0.7781)  3 Ti 1.96-2.13
O (0.3392, 0.4264, 0.7913)  2 Ti 1.89
O (0.3786, 0.6182, 0.0817)  1 Ti 1.93, 1 Zr 2.11
O (0.3799, 0.6232, 0.4208)  1 Ti 1.92, 1 Zr 2.09
O (0.3810, 0.2025, 0.0732)  1 Ti 1.96, 1 Zr 2.07
O (0.3840, 0.0339, 0.4161)  1 Ti 1.93, 1 Zr 2.12
O (0.4443, 0.3349, 0.2899)  2 Ti 1.92-1.98, 1 Zr 2.10
O (0.5557, 0.6651, 0.7101)  2 Ti 1.92-1.98, 1 Zr 2.10
O (0.6160, 0.9661, 0.5839)  1 Ti 1.93, 1 Zr 2.12
O (0.6190, 0.7975, 0.9268)  1 Ti 1.96, 1 Zr 2.07
O (0.6201, 0.3768, 0.5792)  1 Ti 1.92, 1 Zr 2.09
O (0.6214, 0.3818, 0.9183)  1 Ti 1.93, 1 Zr 2.11
O (0.6608, 0.5736, 0.2087)  2 Ti 1.89
O (0.7009, 0.9448, 0.2219)  3 Ti 1.96-2.13
O (0.7572, 0.0539, 0.7782)  3 Ti 1.98-2.11
O (0.7906, 0.6228, 0.4298)  1 Ti 1.98, 1 Zr 2.02
O (0.8365, 0.1073, 0.3970)  1 Ti 1.81
O (0.8901, 0.1729, 0.0978)  1 Ti 1.84
O (0.9206, 0.6621, 0.7177)  2 Ti 1.86
O (0.9329, 0.2786, 0.7134)  3 Ti 1.90-1.95
O (0.9606, 0.6188, 0.0823)  1 Ti 1.96, 1 Zr 2.11

## Properties
- E_form (uncorrected) (eV per atom) = -3.245

=====

Record 8
Below is crystalline Ca3TlO5 at its relaxed geometry, with properties calculated at the GGA-PBEsol level.

a b c (Å): 5.8208 5.8208 13.4537
angles (deg): 90.00 90.00 146.80
With the nearest neighbours (Å) after each atom.
Fractional coordinates of all 18 atoms:
Ca (0.0257, 0.9743, 0.7500)  6 O 2.26-2.51
Ca (0.2313, 0.7687, 0.1131)  6 O 2.18-2.41
Ca (0.2313, 0.7687, 0.3869)  6 O 2.18-2.41
Ca (0.7687, 0.2313, 0.6131)  6 O 2.18-2.41
Ca (0.7687, 0.2313, 0.8869)  6 O 2.18-2.41
Ca (0.9743, 0.0257, 0.2500)  6 O 2.26-2.51
Tl (0.5000, 0.5000, 0.0000)  6 O 2.18-2.35
Tl (0.5000, 0.5000, 0.5000)  6 O 2.18-2.35
O (0.1371, 0.8629, 0.5481)  2 Tl 2.35, 3 Ca 2.38-2.41
O (0.1371, 0.8629, 0.9519)  2 Tl 2.35, 3 Ca 2.38-2.41
O (0.3366, 0.6634, 0.2500)  4 Ca 2.18-2.26
O (0.4139, 0.5861, 0.6452)  1 Tl 2.18, 2 Ca 2.36
O (0.4139, 0.5861, 0.8548)  1 Tl 2.18, 2 Ca 2.36
O (0.5861, 0.4139, 0.1452)  1 Tl 2.18, 2 Ca 2.36
O (0.5861, 0.4139, 0.3548)  1 Tl 2.18, 2 Ca 2.36
O (0.6634, 0.3366, 0.7500)  4 Ca 2.18-2.26
O (0.8629, 0.1371, 0.0481)  2 Tl 2.35, 3 Ca 2.38-2.41
O (0.8629, 0.1371, 0.4519)  2 Tl 2.35, 3 Ca 2.38-2.41

## Properties
- E_form (uncorrected) (eV per atom) = -2.101